# 1
Pr2Ga12Pt7 PBE-GGA relaxed; E = -4.939 eV/atom; spin magnetization = 0.00 μB per cell; formation energy = -741 meV/atom
1.0
4.2306 0.0000 0.0000
0.0000 8.7315 -5.0411
0.0000 0.0000 10.0822
Ga Pt Pr
12 7 2
Direct
0.0000 0.8090 0.7280 Ga
0.0000 0.4920 0.5300 Ga
0.5000 0.5464 0.7508 Ga
0.5000 0.2492 0.7956 Ga
0.5000 0.2044 0.4536 Ga
0.5000 0.6855 0.0740 Ga
0.0000 0.2720 0.0810 Ga
0.5000 0.9260 0.6115 Ga
0.0000 0.4700 0.9621 Ga
0.0000 0.0379 0.5080 Ga
0.5000 0.3885 0.3145 Ga
0.0000 0.9190 0.1910 Ga
0.0000 0.6977 0.9127 Pt
0.0000 0.3333 0.6667 Pt
0.5000 0.4287 0.0876 Pt
0.0000 0.2150 0.3023 Pt
0.5000 0.6589 0.5713 Pt
0.5000 0.9124 0.3411 Pt
0.0000 0.0873 0.7850 Pt
0.5000 0.0000 0.0000 Pr
0.0000 0.6667 0.3333 Pr

---

# 2
PmNdMgAg PBE-GGA relaxed; energy above the lowest structure with this stoichiometry = 48 meV/atom; E = -3.627 eV/atom; spin magnetization = 0.00 μB per cell; formation energy = -136 meV/atom
1.0
-3.8607 -3.1919 -1.9916
1.3184 -4.2362 -3.0621
-0.6136 -5.0028 1.9118
Pm Ag Mg Nd
1 1 1 1
Direct
0.0000 0.0000 0.0000 Pm
0.2500 0.2500 0.2500 Ag
0.7500 0.7500 0.7500 Mg
0.5000 0.5000 0.5000 Nd

---

# 3
Nd12GaNi5 PBE-GGA relaxed; E = -5.192 eV/atom; spin magnetization = 0.00 μB per cell; formation energy = -239 meV/atom
1.0
-5.7656 0.3594 6.3418
-3.8608 1.7857 -7.4495
3.4694 -7.8043 -0.8042
Ni Nd Ga
5 12 1
Direct
0.6340 0.6340 0.0000 Ni
0.5000 0.8755 0.3755 Ni
0.3660 0.3660 0.0000 Ni
0.0000 0.0000 0.0000 Ni
0.5000 0.1245 0.6245 Ni
0.1177 0.8196 0.2981 Nd
0.5215 0.8196 0.7019 Nd
0.1879 0.3997 0.2118 Nd
0.1879 0.9762 0.7882 Nd
0.3045 0.6748 0.9794 Nd
0.6955 0.3252 0.0206 Nd
0.8121 0.0238 0.2118 Nd
0.3045 0.3252 0.6297 Nd
0.4785 0.1804 0.2981 Nd
0.6955 0.6748 0.3703 Nd
0.8823 0.1804 0.7019 Nd
0.8121 0.6003 0.7882 Nd
0.0000 0.5000 0.5000 Ga

---

# 4
UFe2Re PBE-GGA relaxed; energy above the lowest structure with this stoichiometry = 257 meV/atom; E = -9.846 eV/atom; spin magnetization = 3.40 μB per cell; formation energy = 320 meV/atom
1.0
-0.9979 -2.3014 -1.1271
1.1858 -2.4217 0.5402
-5.4398 -2.6789 6.9314
U Fe Re
1 2 1
Direct
0.0000 0.0000 0.0000 U
0.2423 0.2423 0.2732 Fe
0.7577 0.7577 0.7268 Fe
0.5000 0.5000 0.5000 Re

---

# 5
AcNdEu PBE-GGA relaxed; energy above the lowest structure with this stoichiometry = 4 meV/atom; E = -6.355 eV/atom; spin magnetization = 7.49 μB per cell; formation energy = 29 meV/atom
1.0
-2.6422 2.6982 0.8151
0.4214 -1.2570 -3.6288
-6.3726 -6.7201 1.5877
Ac Eu Nd
1 1 1
Direct
0.3333 0.6667 0.6754 Ac
0.6667 0.3333 0.3264 Eu
0.0000 0.0000 0.9981 Nd

---

# 6
CuReSe2 PBE-GGA relaxed; energy above the lowest structure with this stoichiometry = 66 meV/atom; E = -5.633 eV/atom; spin magnetization = 0.00 μB per cell; raw formation energy = 246 meV per atom
1.0
-6.6335 -2.2850 1.9483
-3.4164 -5.5095 3.3156
5.1540 5.1096 -0.5905
Se Cu Re
2 1 1
Direct
0.0247 0.0247 0.0000 Se
0.7648 0.2648 0.5000 Se
0.5332 0.5332 0.0000 Cu
0.1773 0.6773 0.5000 Re

---

# 7
MnCoP2 PBE-GGA relaxed; energy above the lowest structure with this stoichiometry = 438 meV/atom; E = -6.946 eV/atom; spin magnetization = 0.99 μB per cell; formation energy = -172 meV/atom
1.0
3.9283 0.0055 0.0048
-0.0063 3.9283 0.0048
-0.0040 -0.0041 2.8383
Co P Mn
1 2 1
Direct
0.5000 0.0000 0.5000 Co
0.5000 0.5000 0.0000 P
0.0000 0.0000 0.0000 P
0.0000 0.5000 0.5000 Mn

---

# 8
GdPaIn4 PBE-GGA relaxed; E = -5.862 eV/atom; spin magnetization = 9.00 μB per cell; formation energy = -107 meV/atom
1.0
6.0106 0.0000 0.0000
3.0053 5.2054 0.0000
3.0053 1.7351 4.9077
In Pa Gd
4 1 1
Direct
0.6251 0.6251 0.6251 In
0.1247 0.6251 0.6251 In
0.6251 0.6251 0.1247 In
0.6251 0.1247 0.6251 In
0.0000 0.0000 0.0000 Pa
0.2500 0.2500 0.2500 Gd